No. 1
Below is a relaxed Hf8Co2C3N3 crystal, with properties calculated at the PBE level.

Crystal system: trigonal
Calculated total energy: -162.690 eV/f.u.

Unit cell a=3.2194 b=3.2194 c=23.5606 alpha=90.00 beta=90.00 gamma=120.00
Space group P-3m1 (No. 164)
Asymmetric unit:
Hf1 0.0000 0.0000 0.1688 x2
Hf2 0.0000 0.0000 0.3301 x2
Hf3 0.3333 0.6667 0.5561 x2
Hf4 0.3333 0.6667 0.9437 x2
Co1 0.3333 0.6667 0.7533 x2
C1 0.0000 0.0000 0.5000 x1
C2 0.3333 0.6667 0.3840 x2
N1 0.0000 0.0000 0.0000 x1
N2 0.3333 0.6667 0.1102 x2

=====

No. 2
Below is a relaxed SmCuTe3Pb crystal, with properties calculated at the PBE level.

Polymorph energy (0 for the lowest one): 14 meV/atom
Crystal system: orthorhombic
Calculated total energy: -25.841 eV/f.u.

Unit cell a=14.7375 b=4.3313 c=11.8222 alpha=90.00 beta=90.00 gamma=90.00
Space group Pnma (No. 62)
Asymmetric unit:
Sm1 0.0096 0.2500 0.1738 x4
Cu1 0.0075 0.7500 0.4172 x4
Te1 0.1050 0.7500 0.6095 x4
Te2 0.1152 0.2500 0.9397 x4
Te3 0.1434 0.7500 0.2615 x4
Pb1 0.2142 0.2500 0.4514 x4

=====

No. 3
Below is a relaxed Pa3Al crystal, with properties calculated at the PBE level.

Polymorph energy (0 for the lowest one): 196 meV/atom
Crystal system: cubic
Calculated total energy: -31.898 eV/f.u.

Unit cell a=7.1705 b=7.1705 c=7.1705 alpha=90.00 beta=90.00 gamma=90.00
Space group Fm-3m (No. 225)
Asymmetric unit:
Pa1 0.0000 0.0000 0.0000 x4
Pa2 0.2500 0.2500 0.2500 x8
Al1 0.0000 0.0000 0.5000 x4

=====

No. 4
Below is a relaxed KLi4GePd2 crystal, with properties calculated at the PBE level.

Crystal system: tetragonal
Calculated total energy: -25.686 eV/f.u.

Unit cell a=4.5220 b=4.5220 c=6.9457 alpha=90.00 beta=90.00 gamma=90.00
Space group P-4m2 (No. 115)
Asymmetric unit:
K1 0.0000 0.0000 0.0000 x1
Li1 0.0000 0.0000 0.5000 x1
Li2 0.0000 0.5000 0.6982 x2
Li3 0.5000 0.5000 0.0000 x1
Ge1 0.5000 0.5000 0.5000 x1
Pd1 0.0000 0.5000 0.3203 x2

=====

No. 5
Below is a relaxed UTaRe crystal, with properties calculated at the PBE level.

Polymorph energy (0 for the lowest one): 0 meV/atom
Crystal system: cubic
Calculated total energy: -33.944 eV/f.u.
DFT formation energy: 0.5427 eV per atom

Unit cell a=6.4047 b=6.4047 c=6.4047 alpha=90.00 beta=90.00 gamma=90.00
Space group F-43m (No. 216)
Asymmetric unit:
U1 0.0000 0.0000 0.0000 x4
Ta1 0.0000 0.0000 0.5000 x4
Re1 0.2500 0.2500 0.2500 x4

=====

No. 6
Below is a relaxed TmCo2 crystal, with properties calculated at the PBE level.

Crystal system: tetragonal
Calculated total energy: -14.585 eV/f.u.
DFT formation energy: 1.3674 eV per atom

Unit cell a=5.0153 b=5.0153 c=4.2119 alpha=90.00 beta=90.00 gamma=90.00
Space group P4_2/mnm (No. 136)
Asymmetric unit:
Tm1 0.0000 0.0000 0.0000 x2
Co1 0.1688 0.1688 0.5000 x4